1.
HgB2RhS: relaxed, GGA-PBE.

Unit cell a=4.0337 b=4.0337 c=5.4778 alpha=90.00 beta=90.00 gamma=90.00
Sites, in units of the cell vectors:
Hg (0.0000, 0.0000, 0.0000)
B (0.0000, 0.5000, 0.0000)
B (0.5000, 0.0000, 0.0000)
Rh (0.0000, 0.0000, 0.5000)
S (0.5000, 0.5000, 0.5000)

Output
The total magnetization is 0.0 μB/f.u. Its space group is P4/mmm. Its calculated volume is 17.83 A^3/atom. Its total energy is -3.213 eV/atom.

=====

2.
Tm4ThPd5: relaxed, GGA-PBE.

Unit cell a=3.4496 b=3.4496 c=17.9140 alpha=90.00 beta=90.00 gamma=90.00
Sites, in units of the cell vectors:
Tm (0.0000, 0.0000, 0.0971)
Tm (0.0000, 0.0000, 0.2922)
Tm (0.0000, 0.0000, 0.7078)
Tm (0.0000, 0.0000, 0.9029)
Th (0.0000, 0.0000, 0.5000)
Pd (0.5000, 0.5000, 0.0000)
Pd (0.5000, 0.5000, 0.1947)
Pd (0.5000, 0.5000, 0.3852)
Pd (0.5000, 0.5000, 0.6148)
Pd (0.5000, 0.5000, 0.8053)

Output
The total magnetization is 0.0 μB/f.u. Its space group is P4/mmm. As for the energy of formation: -8.75 eV/f.u. Its calculated volume is 21.32 A^3/atom. Its total energy is -6.002 eV/atom.

=====

3.
NaLi4Hf3Se8: relaxed, GGA-PBE.

Unit cell a=7.8291 b=7.8291 c=7.8291 alpha=59.24 beta=59.24 gamma=59.24
Sites, in units of the cell vectors:
Na (0.0000, 0.0000, 0.0000)
Li (0.0000, 0.0000, 0.5000)
Li (0.0000, 0.5000, 0.0000)
Li (0.5000, 0.0000, 0.0000)
Li (0.5000, 0.5000, 0.5000)
Hf (0.0000, 0.5000, 0.5000)
Hf (0.5000, 0.0000, 0.5000)
Hf (0.5000, 0.5000, 0.0000)
Se (0.2514, 0.2514, 0.2514)
Se (0.2561, 0.2561, 0.7331)
Se (0.2561, 0.7331, 0.2561)
Se (0.2669, 0.7439, 0.7439)
Se (0.7331, 0.2561, 0.2561)
Se (0.7439, 0.2669, 0.7439)
Se (0.7439, 0.7439, 0.2669)
Se (0.7486, 0.7486, 0.7486)

Output
The total magnetization is 0.0 μB/f.u. Its space group is R-3m. Its calculated volume is 20.84 A^3/atom. Its total energy is -5.448 eV/atom.

=====

4.
CsMgV3: relaxed, GGA-PBE.

Unit cell a=4.7793 b=4.7793 c=4.7793 alpha=90.00 beta=90.00 gamma=90.00
Sites, in units of the cell vectors:
Cs (0.0000, 0.0000, 0.0000)
Mg (0.5000, 0.5000, 0.5000)
V (0.0000, 0.0000, 0.5000)
V (0.0000, 0.5000, 0.0000)
V (0.5000, 0.0000, 0.0000)

Output
The total magnetization is 0.0 μB/f.u. Its space group is Pm-3m. As for the energy of formation: 11.69 eV/f.u. Its calculated volume is 21.83 A^3/atom. Its total energy is -3.623 eV/atom.